Compound: CeSm2Sb3Rh4
Source: Alexandria via LeMat-Bulk
Functional: PBE-GGA
Structure: optimized geometry Values from VASP.

Geometry as Quantum ESPRESSO input:
```
&SYSTEM
  ibrav = 0, nat = 10, ntyp = 4
/
ATOMIC_SPECIES
Sm 150.36 Sm.upf
Rh 102.91 Rh.upf
Sb 121.76 Sb.upf
Ce 140.12 Ce.upf
CELL_PARAMETERS angstrom
-1.9852 -3.8790 -0.7767
2.7448 -1.9763 2.8550
-7.3363 2.0573 8.4771
ATOMIC_POSITIONS crystal
Sm 0.0000 0.5000 0.7870
Sm 0.5000 0.0000 0.2130
Rh 0.5000 0.5000 0.0000
Rh 0.0000 0.5000 0.3588
Rh 0.0000 0.0000 0.0000
Rh 0.5000 0.0000 0.6412
Sb 0.5000 0.0000 0.8674
Sb 0.0000 0.0000 0.5000
Sb 0.0000 0.5000 0.1326
Ce 0.5000 0.5000 0.5000
```

Values from the calculation:
SG: P-4m2 (115)
Theoretical density: 9.056 g/cm³
Energy relative to the elements, uncorrected: -8.32 eV per formula unit
VASP energy: -6.546 eV/atom
Size of the total moment: 0.019 μB per atom